{
  "formula": "TaAlRu2",
  "functional": "GGA-PBE",
  "state": "optimized geometry",
  "total_energy_ev_per_atom": -8.96,
  "rho_g_cm3": 11.367,
  "formation_enthalpy_0k_ev_per_fu": -1.68,
  "sg": "I-4m2",
  "magmom_total_mub_per_atom": 0.00,
  "cell": [[5.0897, -0.0012, 0.0000], [2.3934, 4.4919, 0.0000], [-3.7415, -2.2453, 2.6200]],
  "species": ["Ru", "Ru", "Ta", "Al"],
  "frac_coords": [[0.2500, 0.7500, 0.5000], [0.0000, 0.0000, 0.0000], [0.5000, 0.5000, 0.0000], [0.7500, 0.2500, 0.5000]]
}

=====

{
  "formula": "GeSb2Se2",
  "functional": "GGA-PBE",
  "state": "optimized geometry",
  "total_energy_ev_per_atom": -3.87,
  "rho_g_cm3": 5.926,
  "sg": "P4/mbm",
  "raw_formation_energy_mev_per_atom": 100,
  "magmom_total_mub_per_atom": 0.00,
  "cell": [[-7.4997, -3.3909, -0.8447], [1.6702, -5.2349, 6.1858], [-1.4399, 2.5501, 2.5469]],
  "species": ["Sb", "Sb", "Sb", "Sb", "Se", "Se", "Se", "Se", "Ge", "Ge"],
  "frac_coords": [[0.3022, 0.8022, 0.0000], [0.1978, 0.3022, 0.0000], [0.6978, 0.1978, 0.0000], [0.8022, 0.6978, 0.0000], [0.3567, 0.1433, 0.5000], [0.8567, 0.3567, 0.5000], [0.6433, 0.8567, 0.5000], [0.1433, 0.6433, 0.5000], [0.5000, 0.5000, 0.0000], [0.0000, 0.0000, 0.0000]]
}

=====

{
  "formula": "La4AuCl4",
  "functional": "GGA-PBE",
  "state": "optimized geometry",
  "total_energy_ev_per_atom": -4.81,
  "rho_g_cm3": 5.903,
  "sg": "C2/m",
  "raw_formation_energy_mev_per_atom": -1433,
  "magmom_total_mub_per_atom": 0.00,
  "cell": [[-2.9292, 4.4352, -2.3611], [-1.2634, -0.7705, -7.0432], [-7.1384, -0.8089, 0.1733]],
  "species": ["Cl", "Cl", "Cl", "Cl", "La", "La", "La", "La", "Au"],
  "frac_coords": [[0.7791, 0.8245, 0.6173], [0.6036, 0.6166, 0.1761], [0.2209, 0.1755, 0.3827], [0.3964, 0.3834, 0.8239], [0.3156, 0.7747, 0.5940], [0.6844, 0.2253, 0.4060], [0.0903, 0.5935, 0.2260], [0.9097, 0.4065, 0.7740], [0.0000, 0.0000, 0.0000]]
}

=====

{
  "formula": "Nd2Ge4Pt3Rh",
  "functional": "GGA-PBE",
  "state": "optimized geometry",
  "total_energy_ev_per_atom": -6.28,
  "rho_g_cm3": 11.001,
  "formation_enthalpy_0k_ev_per_fu": -9.30,
  "sg": "P-4m2",
  "magmom_total_mub_per_atom": 0.00,
  "cell": [[-2.2436, 3.6798, 0.0539], [-2.9751, -1.7765, -2.5634], [-5.1744, -3.2761, 8.2759]],
  "species": ["Ge", "Ge", "Ge", "Ge", "Pt", "Pt", "Pt", "Nd", "Nd", "Rh"],
  "frac_coords": [[0.0000, 0.5000, 0.3701], [0.5000, 0.5000, 0.0000], [0.0000, 0.0000, 0.0000], [0.5000, 0.0000, 0.6299], [0.5000, 0.0000, 0.8702], [0.0000, 0.5000, 0.1298], [0.0000, 0.0000, 0.5000], [0.0000, 0.5000, 0.7519], [0.5000, 0.0000, 0.2481], [0.5000, 0.5000, 0.5000]]
}

=====

{
  "formula": "YAgHPt2",
  "functional": "GGA-PBE",
  "state": "optimized geometry",
  "total_energy_ev_per_atom": -5.43,
  "rho_g_cm3": 12.801,
  "sg": "P4/mmm",
  "magmom_total_mub_per_atom": 0.00,
  "cell": [[-0.0579, 3.6592, 1.9854], [0.0397, -1.9850, 3.6597], [4.3992, 0.0737, -0.0077]],
  "species": ["Pt", "Pt", "H", "Ag", "Y"],
  "frac_coords": [[0.0000, 0.5000, 0.0000], [0.5000, 0.0000, 0.0000], [0.0000, 0.0000, 0.0000], [0.5000, 0.5000, 0.5000], [0.0000, 0.0000, 0.5000]]
}

=====

{
  "formula": "YMo2",
  "functional": "GGA-PBE",
  "state": "optimized geometry",
  "total_energy_ev_per_atom": -9.19,
  "rho_g_cm3": 7.894,
  "formation_enthalpy_0k_ev_per_fu": 0.56,
  "sg": "I4/mmm",
  "magmom_total_mub_per_atom": 0.00,
  "cell": [[-1.6449, 1.6449, 5.4576], [1.6449, -1.6449, 5.4576], [1.6449, 1.6449, -5.4576]],
  "species": ["Mo", "Mo", "Y"],
  "frac_coords": [[0.3086, 0.3086, 0.0000], [0.6914, 0.6914, 0.0000], [0.0000, 0.0000, 0.0000]]
}